[1]
A crystal of RbCaSe2 relaxed with PBEsol. Source: the Alexandria database, functional SCAN.

a = 9.879 Å, b = 9.879 Å, c = 9.879 Å
α = 143.33°, β = 143.33°, γ = 52.84°
Fractional positions:
Rb1 0.375 0.625 0.750
Rb2 0.625 0.375 0.250
Ca1 0.125 0.875 0.250
Ca2 0.875 0.125 0.750
Se1 0.000 0.000 0.000
Se2 0.000 0.000 0.500
Se3 0.000 0.500 0.000
Se4 0.500 0.000 0.500

Raw total energy, eV per cell: -150.82
E_form (uncorrected), eV per atom: -1.212
Symmetry: I4_1/amd (141)

---

[2]
A crystal of RbCa2ZrSi relaxed with PBEsol. Source: the Alexandria database, functional SCAN.

a = 5.957 Å, b = 5.957 Å, c = 5.226 Å
α = 90.00°, β = 90.00°, γ = 90.00°
Fractional positions:
Rb1 0.000 0.000 0.000
Ca1 0.000 0.500 0.500
Ca2 0.500 0.000 0.500
Zr1 0.500 0.500 0.500
Si1 0.500 0.500 0.000

Raw total energy, eV per cell: -78.17
E_form (uncorrected), eV per atom: 0.523
Symmetry: P4/mmm (123)

---

[3]
A crystal of RbCa3Sn relaxed with PBEsol. Source: the Alexandria database, functional SCAN.

a = 5.681 Å, b = 5.681 Å, c = 5.681 Å
α = 90.00°, β = 90.00°, γ = 90.00°
Fractional positions:
Rb1 0.000 0.000 0.000
Ca1 0.000 0.000 0.500
Ca2 0.000 0.500 0.000
Ca3 0.500 0.000 0.000
Sn1 0.500 0.500 0.500

Raw total energy, eV per cell: -80.78
Calculated formation energy, eV/atom: 0.97
Symmetry: Pm-3m (221)

---

[4]
A crystal of RbCa2Sn2 relaxed with PBEsol. Source: the Alexandria database, functional SCAN.

a = 7.404 Å, b = 7.404 Å, c = 7.404 Å
α = 135.17°, β = 135.17°, γ = 65.27°
Fractional positions:
Rb1 0.000 0.000 0.000
Ca1 0.345 0.345 0.000
Ca2 0.655 0.655 0.000
Sn1 0.250 0.750 0.500
Sn2 0.750 0.250 0.500

Raw total energy, eV per cell: -112.84
Calculated formation energy, eV/atom: -0.19
Symmetry: I4/mmm (139)

---

[5]
A crystal of RbCa2Sn2 relaxed with PBEsol. Source: the Alexandria database, functional SCAN.

a = 9.642 Å, b = 9.642 Å, c = 3.351 Å
α = 90.00°, β = 90.00°, γ = 90.00°
Fractional positions:
Rb1 0.000 0.000 0.000
Rb2 0.500 0.500 0.000
Ca1 0.126 0.374 0.000
Ca2 0.374 0.874 0.000
Ca3 0.626 0.126 0.000
Ca4 0.874 0.626 0.000
Sn1 0.171 0.671 0.500
Sn2 0.329 0.171 0.500
Sn3 0.671 0.829 0.500
Sn4 0.829 0.329 0.500

Raw total energy, eV per cell: -229.15
Calculated formation energy, eV/atom: -0.53
Symmetry: P4/mbm (127)

---

[6]
A crystal of Rb3CaTa relaxed with PBEsol. Source: the Alexandria database, functional SCAN.

a = 6.887 Å, b = 6.887 Å, c = 6.887 Å
α = 90.00°, β = 90.00°, γ = 90.00°
Fractional positions:
Rb1 0.000 0.000 0.500
Rb2 0.000 0.500 0.000
Rb3 0.500 0.000 0.000
Ca1 0.500 0.500 0.500
Ta1 0.000 0.000 0.000

Raw total energy, eV per cell: -131.36
Calculated formation energy, eV/atom: 1.42
Symmetry: Pm-3m (221)

---

D(E_F) values, unit states/eV per atom, following the record order: 0.33; 0.50; 0.37; 0.60; 0.41; 0.99.
Density values, unit Mg/m³, following the record order: 2.75; 2.55; 2.94; 3.37; 4.30; 2.43.